1.
VASP calculation (GGA-PBE) on a relaxed BaCuSbI2 crystal.

Summary:
For the size of the total moment, the calculation gives 0.94 μB/cell. As for the uncorrected formation energy: -234 kJ/mol of formula units. Its mass density is 5705 kg/m3.

a = 5.641 Å, b = 5.641 Å, c = 5.274 Å
α = 90.00°, β = 90.00°, γ = 90.00°
Atoms (fractional coordinates):
Ba1 0.000 0.000 0.000
Cu1 0.500 0.500 0.500
Sb1 0.500 0.500 0.000
I1 0.000 0.500 0.500
I2 0.500 0.000 0.500

***

2.
VASP calculation (GGA-PBE) on a relaxed Pm5HoMg4 crystal.

Summary:
For the size of the total moment, the calculation gives 0.00 μB/cell. The calculation puts the formation energy from the elements at -0.7 eV/f.u. Its mass density is 5517 kg/m3.

a = 3.811 Å, b = 3.811 Å, c = 20.463 Å
α = 90.00°, β = 90.00°, γ = 90.00°
Atoms (fractional coordinates):
Pm1 0.000 0.000 0.000
Pm2 0.000 0.000 0.192
Pm3 0.000 0.000 0.384
Pm4 0.000 0.000 0.616
Pm5 0.000 0.000 0.808
Ho1 0.500 0.500 0.500
Mg1 0.500 0.500 0.096
Mg2 0.500 0.500 0.288
Mg3 0.500 0.500 0.712
Mg4 0.500 0.500 0.904

***

3.
VASP calculation (GGA-PBE) on a relaxed BeCrTc3 crystal.

Summary:
For the size of the total moment, the calculation gives 0.00 μB/cell. The calculation puts the formation energy from the elements at 3.6 eV/f.u. Its mass density is 8669 kg/m3. The calculation puts the energy above the most stable polymorph in this dataset at 0 meV per atom.

a = 4.082 Å, b = 4.082 Å, c = 4.082 Å
α = 90.00°, β = 90.00°, γ = 90.00°
Atoms (fractional coordinates):
Be1 0.000 0.000 0.000
Cr1 0.500 0.500 0.500
Tc1 0.000 0.000 0.500
Tc2 0.000 0.500 0.000
Tc3 0.500 0.000 0.000